Compound: Ca3Zn3Pt2
Source: Alexandria via LeMat-Bulk
Functional: PBE
Structure: relaxed

Calculated values
**Energy of formation**: -673 meV per atom

Lattice parameters (Å, degrees): 7.9729 15.5195 5.7338 90.00 90.00 90.00
Last column: nearest neighbours and their distance in Å.
Fractional coordinates of all 32 atoms:
Ca: 0.0391 0.1076 0.1133  3 Pt 3.04-3.14, 7 Zn 3.19-3.36
Ca: 0.0391 0.3924 0.1133  3 Pt 3.04-3.14, 7 Zn 3.19-3.36
Ca: 0.1757 0.2500 0.6282  5 Zn 3.00-3.33, 4 Pt 3.12-3.21
Ca: 0.3243 0.7500 0.1282  5 Zn 3.00-3.33, 4 Pt 3.12-3.21
Ca: 0.4609 0.6076 0.6133  3 Pt 3.04-3.14, 7 Zn 3.19-3.36
Ca: 0.4609 0.8924 0.6133  3 Pt 3.04-3.14, 7 Zn 3.19-3.36
Ca: 0.5391 0.1076 0.3867  3 Pt 3.04-3.14, 7 Zn 3.19-3.36
Ca: 0.5391 0.3924 0.3867  3 Pt 3.04-3.14, 7 Zn 3.19-3.36
Ca: 0.6757 0.2500 0.8718  5 Zn 3.00-3.33, 4 Pt 3.12-3.21
Ca: 0.8243 0.7500 0.3718  5 Zn 3.00-3.33, 4 Pt 3.12-3.21
Ca: 0.9609 0.6076 0.8867  3 Pt 3.04-3.14, 7 Zn 3.19-3.36
Ca: 0.9609 0.8924 0.8867  3 Pt 3.04-3.14, 7 Zn 3.19-3.36
Zn: 0.1694 0.7500 0.6058  2 Pt 2.58
Zn: 0.1744 0.0357 0.6044  3 Pt 2.56-2.60
Zn: 0.1744 0.4643 0.6044  3 Pt 2.56-2.60
Zn: 0.3256 0.5357 0.1044  3 Pt 2.56-2.60
Zn: 0.3256 0.9643 0.1044  3 Pt 2.56-2.60
Zn: 0.3306 0.2500 0.1058  2 Pt 2.58
Zn: 0.6694 0.7500 0.8942  2 Pt 2.58
Zn: 0.6744 0.0357 0.8956  3 Pt 2.56-2.60
Zn: 0.6744 0.4643 0.8956  3 Pt 2.56-2.60
Zn: 0.8256 0.5357 0.3956  3 Pt 2.56-2.60
Zn: 0.8256 0.9643 0.3956  3 Pt 2.56-2.60
Zn: 0.8306 0.2500 0.3942  2 Pt 2.58
Pt: 0.1176 0.6080 0.3834  4 Zn 2.56-2.60
Pt: 0.1176 0.8920 0.3834  4 Zn 2.56-2.60
Pt: 0.3824 0.1080 0.8834  4 Zn 2.56-2.60
Pt: 0.3824 0.3920 0.8834  4 Zn 2.56-2.60
Pt: 0.6176 0.6080 0.1166  4 Zn 2.56-2.60
Pt: 0.6176 0.8920 0.1166  4 Zn 2.56-2.60
Pt: 0.8824 0.1080 0.6166  4 Zn 2.56-2.60
Pt: 0.8824 0.3920 0.6166  4 Zn 2.56-2.60

Compound: CaLa2Mn
Source: Alexandria via LeMat-Bulk
Functional: PBE
Structure: relaxed

Calculated values
**Energy of formation**: 353 meV per atom

Lattice parameters (Å, degrees): 5.0078 5.0078 9.9398 90.00 90.00 90.00
Last column: nearest neighbours and their distance in Å.
Fractional coordinates of all 8 atoms:
Ca: 0.0000 0.0000 0.0000  8 La 3.53-3.54, 4 Mn 3.53
Ca: 0.5000 0.5000 0.5000  8 La 3.53-3.54, 4 Mn 3.53
La: 0.0000 0.0000 0.5000  4 La 3.53, 4 Mn 3.53, 4 Ca 3.54
La: 0.0000 0.5000 0.7500  4 Ca 3.53, 4 La 3.53, 4 Mn 3.54
La: 0.5000 0.0000 0.2500  4 Ca 3.53, 4 La 3.53, 4 Mn 3.54
La: 0.5000 0.5000 0.0000  4 La 3.53, 4 Mn 3.53, 4 Ca 3.54
Mn: 0.0000 0.5000 0.2500  8 La 3.53-3.54, 4 Ca 3.53
Mn: 0.5000 0.0000 0.7500  8 La 3.53-3.54, 4 Ca 3.53

Compound: RbNaGaSi
Source: Alexandria via LeMat-Bulk
Functional: PBE
Structure: relaxed

Lattice parameters (Å, degrees): 7.2658 4.1949 9.1848 90.00 90.10 90.00
Last column: nearest neighbours and their distance in Å.
Fractional coordinates of all 8 atoms:
Rb: 0.0000 0.0000 0.0000  3 Si 3.72-3.73, 3 Ga 3.75, 1 Na 4.16
Rb: 0.5000 0.5000 0.0000  3 Si 3.72-3.73, 3 Ga 3.75, 1 Na 4.16
Na: 0.0009 0.0000 0.5475  3 Ga 3.25, 3 Si 3.27
Na: 0.5009 0.5000 0.5475  3 Ga 3.25, 3 Si 3.27
Ga: 0.3336 0.0000 0.3119  3 Si 2.42
Ga: 0.8336 0.5000 0.3119  3 Si 2.42
Si: 0.1670 0.5000 0.3082  3 Ga 2.42
Si: 0.6670 0.0000 0.3082  3 Ga 2.42

Compound: ZrCd4Ag
Source: Alexandria via LeMat-Bulk
Functional: PBE
Structure: relaxed

Calculated values
**Energy of formation**: -19 meV per atom

Lattice parameters (Å, degrees): 8.3705 4.8189 6.3108 90.00 91.74 90.00
Last column: nearest neighbours and their distance in Å.
Fractional coordinates of all 12 atoms:
Zr: 0.0000 0.0000 0.0000  2 Ag 3.16, 12 Cd 3.19-3.20
Zr: 0.5000 0.5000 0.0000  2 Ag 3.16, 12 Cd 3.19-3.20
Cd: 0.1608 0.5000 0.7534  3 Cd 2.79
Cd: 0.1723 0.5000 0.2490  3 Cd 2.79
Cd: 0.3277 0.0000 0.7510  3 Cd 2.79
Cd: 0.3392 0.0000 0.2466  3 Cd 2.79
Cd: 0.6608 0.0000 0.7534  3 Cd 2.79
Cd: 0.6723 0.0000 0.2490  3 Cd 2.79
Cd: 0.8277 0.5000 0.7510  3 Cd 2.79
Cd: 0.8392 0.5000 0.2466  3 Cd 2.79
Ag: 0.0000 0.0000 0.5000  12 Cd 3.13-3.30, 2 Zr 3.16
Ag: 0.5000 0.5000 0.5000  12 Cd 3.13-3.30, 2 Zr 3.16

Compound: Ca5Ag3Br12
Source: Alexandria via LeMat-Bulk
Functional: PBE
Structure: relaxed

Lattice parameters (Å, degrees): 15.2846 15.2846 15.2846 109.47 109.47 109.47
Last column: nearest neighbours and their distance in Å.
Fractional coordinates of all 80 atoms:
Ca: 0.0000 0.0000 0.0000  6 Br 2.92
Ca: 0.0000 0.0000 0.5000  6 Br 2.92
Ca: 0.0000 0.5000 0.0000  6 Br 2.92
Ca: 0.0000 0.5000 0.5000  6 Br 2.92
Ca: 0.1250 0.7500 0.8750  4 Br 2.77
Ca: 0.1250 0.8750 0.2500  4 Br 2.77
Ca: 0.2500 0.1250 0.8750  4 Br 2.77
Ca: 0.2500 0.6250 0.3750  4 Br 2.77
Ca: 0.3750 0.2500 0.6250  4 Br 2.77
Ca: 0.3750 0.6250 0.7500  4 Br 2.77
Ca: 0.5000 0.0000 0.0000  6 Br 2.92
Ca: 0.5000 0.0000 0.5000  6 Br 2.92
Ca: 0.5000 0.5000 0.0000  6 Br 2.92
Ca: 0.5000 0.5000 0.5000  6 Br 2.92
Ca: 0.6250 0.3750 0.2500  4 Br 2.77
Ca: 0.6250 0.7500 0.3750  4 Br 2.77
Ca: 0.7500 0.3750 0.6250  4 Br 2.77
Ca: 0.7500 0.8750 0.1250  4 Br 2.77
Ca: 0.8750 0.1250 0.7500  4 Br 2.77
Ca: 0.8750 0.2500 0.1250  4 Br 2.77
Ag: 0.1250 0.2500 0.3750  8 Br 3.26-3.46
Ag: 0.1250 0.3750 0.7500  8 Br 3.26-3.46
Ag: 0.2500 0.3750 0.1250  8 Br 3.26-3.46
Ag: 0.2500 0.8750 0.6250  8 Br 3.26-3.46
Ag: 0.3750 0.1250 0.2500  8 Br 3.26-3.46
Ag: 0.3750 0.7500 0.1250  8 Br 3.26-3.46
Ag: 0.6250 0.2500 0.8750  8 Br 3.26-3.46
Ag: 0.6250 0.8750 0.7500  8 Br 3.26-3.46
Ag: 0.7500 0.1250 0.3750  8 Br 3.26-3.46
Ag: 0.7500 0.6250 0.8750  8 Br 3.26-3.46
Ag: 0.8750 0.6250 0.2500  8 Br 3.26-3.46
Ag: 0.8750 0.7500 0.6250  8 Br 3.26-3.46
Br: 0.0415 0.2170 0.1207  2 Ca 2.77-2.92
Br: 0.0415 0.3245 0.9208  2 Ca 2.77-2.92
Br: 0.0792 0.6207 0.4037  2 Ca 2.77-2.92
Br: 0.0792 0.9585 0.6755  2 Ca 2.77-2.92
Br: 0.0963 0.7170 0.6755  2 Ca 2.77-2.92
Br: 0.0963 0.8793 0.4208  2 Ca 2.77-2.92
Br: 0.1207 0.0415 0.2170  2 Ca 2.77-2.92
Br: 0.1207 0.5792 0.9037  2 Ca 2.77-2.92
Br: 0.1755 0.2170 0.5963  2 Ca 2.77-2.92
Br: 0.1755 0.4585 0.5792  2 Ca 2.77-2.92
Br: 0.2170 0.1207 0.0415  2 Ca 2.77-2.92
Br: 0.2170 0.5963 0.1755  2 Ca 2.77-2.92
Br: 0.2830 0.3245 0.9037  2 Ca 2.77-2.92
Br: 0.2830 0.4585 0.3793  2 Ca 2.77-2.92
Br: 0.3245 0.9037 0.2830  2 Ca 2.77-2.92
Br: 0.3245 0.9208 0.0415  2 Ca 2.77-2.92
Br: 0.3793 0.2830 0.4585  2 Ca 2.77-2.92
Br: 0.3793 0.5963 0.9208  2 Ca 2.77-2.92
Br: 0.4037 0.0792 0.6207  2 Ca 2.77-2.92
Br: 0.4037 0.8245 0.7830  2 Ca 2.77-2.92
Br: 0.4208 0.0963 0.8793  2 Ca 2.77-2.92
Br: 0.4208 0.8245 0.5415  2 Ca 2.77-2.92
Br: 0.4585 0.3793 0.2830  2 Ca 2.77-2.92
Br: 0.4585 0.5792 0.1755  2 Ca 2.77-2.92
Br: 0.5415 0.4208 0.8245  2 Ca 2.77-2.92
Br: 0.5415 0.6207 0.7170  2 Ca 2.77-2.92
Br: 0.5792 0.1755 0.4585  2 Ca 2.77-2.92
Br: 0.5792 0.9037 0.1207  2 Ca 2.77-2.92
Br: 0.5963 0.1755 0.2170  2 Ca 2.77-2.92
Br: 0.5963 0.9208 0.3793  2 Ca 2.77-2.92
Br: 0.6207 0.4037 0.0792  2 Ca 2.77-2.92
Br: 0.6207 0.7170 0.5415  2 Ca 2.77-2.92
Br: 0.6755 0.0792 0.9585  2 Ca 2.77-2.92
Br: 0.6755 0.0963 0.7170  2 Ca 2.77-2.92
Br: 0.7170 0.5415 0.6207  2 Ca 2.77-2.92
Br: 0.7170 0.6755 0.0963  2 Ca 2.77-2.92
Br: 0.7830 0.4037 0.8245  2 Ca 2.77-2.92
Br: 0.7830 0.8793 0.9585  2 Ca 2.77-2.92
Br: 0.8245 0.5415 0.4208  2 Ca 2.77-2.92
Br: 0.8245 0.7830 0.4037  2 Ca 2.77-2.92
Br: 0.8793 0.4208 0.0963  2 Ca 2.77-2.92
Br: 0.8793 0.9585 0.7830  2 Ca 2.77-2.92
Br: 0.9037 0.1207 0.5792  2 Ca 2.77-2.92
Br: 0.9037 0.2830 0.3245  2 Ca 2.77-2.92
Br: 0.9208 0.0415 0.3245  2 Ca 2.77-2.92
Br: 0.9208 0.3793 0.5963  2 Ca 2.77-2.92
Br: 0.9585 0.6755 0.0792  2 Ca 2.77-2.92
Br: 0.9585 0.7830 0.8793  2 Ca 2.77-2.92

In the order shown, the computed total energy values come out to -3.4120, -4.9037, -2.6921, -2.5287, -3.2667 eV/atom.
In the order shown, the computed density values come out to 6.6, 5.0, 2.4, 8.5, 3.6 g cm⁻³.
In the order shown, the computed N(E_F) values come out to 0.459, 1.456, 0.590, 0.552, 0.152 states/eV/atom.